Entry from the Alexandria database: a geometry-optimized MgCl5 structure (GGA-PBE).

The calculation puts the uncorrected formation energy at 0.1467 eV per atom. The calculated total energy is -1.6580 eV per atom. The mass density comes out at 2508 kg/m3. Its polymorph energy (0 for the lowest one) is 891.7 meV per atom.

abc: 5.736 5.736 5.736
angles: 60.00 60.00 60.00
Sites, in units of the cell vectors:
Mg 0.000 0.000 0.000
Cl 0.375 0.375 0.375
Cl 0.375 0.375 0.876
Cl 0.375 0.876 0.375
Cl 0.750 0.750 0.750
Cl 0.876 0.375 0.375